Material: PaB4Ru
Method: DFT, PBE
State: optimized geometry

Properties
Energy of formation ... -20 kJ/mol of atoms
Spin magnetization ... 0.0 Bohr magnetons per cell
Energy ... -46.7 eV/cell

abc: 3.1505 4.9495 4.9495
angles: 63.63 71.44 71.44
With the nearest neighbours (Å) after each atom.
Fractional coordinates of all 6 atoms:
1 Pa 0.0000 0.0000 0.0000  12 B 2.62-2.63
2 B 0.2571 0.4189 0.0669  3 B 1.76-1.84
3 B 0.2571 0.0669 0.4189  3 B 1.76-1.84
4 B 0.7429 0.5811 0.9331  3 B 1.76-1.84
5 B 0.7429 0.9331 0.5811  3 B 1.76-1.84
6 Ru 0.5000 0.5000 0.5000  12 B 2.54-2.71

***

Material: Pa3B7Ru
Method: DFT, PBE
State: optimized geometry

Properties
Energy of formation ... -48 kJ/mol of atoms
Spin magnetization ... 0.0 Bohr magnetons per cell
Energy ... -180.0 eV/cell

abc: 3.5180 8.1342 9.4493
angles: 90.00 90.00 102.49
With the nearest neighbours (Å) after each atom.
Fractional coordinates of all 22 atoms:
1 Pa 0.1071 0.2142 0.4393  11 B 2.65-2.72
2 Pa 0.8929 0.7858 0.5607  11 B 2.65-2.72
3 Pa 0.2498 0.4996 0.7500  10 B 2.71-2.72
4 Pa 0.7502 0.5004 0.2500  10 B 2.71-2.72
5 Pa 0.1071 0.2142 0.0607  11 B 2.65-2.72
6 Pa 0.8929 0.7858 0.9393  11 B 2.65-2.72
7 B 0.4582 0.9164 0.7500  2 B 1.80
8 B 0.5418 0.0836 0.2500  2 B 1.80
9 B 0.4789 0.9579 0.4084  3 B 1.80-1.88
10 B 0.5211 0.0421 0.5916  3 B 1.80-1.88
11 B 0.5211 0.0421 0.9084  3 B 1.80-1.88
12 B 0.4789 0.9579 0.0916  3 B 1.80-1.88
13 B 0.3666 0.7331 0.3473  3 B 1.83-1.88
14 B 0.6334 0.2669 0.6527  3 B 1.83-1.88
15 B 0.2749 0.5499 0.4655  3 B 1.83-2.04
16 B 0.7251 0.4501 0.5345  3 B 1.83-2.04
17 B 0.7251 0.4501 0.9655  3 B 1.83-2.04
18 B 0.2749 0.5499 0.0345  3 B 1.83-2.04
19 B 0.3666 0.7331 0.1527  3 B 1.83-1.88
20 B 0.6334 0.2669 0.8473  3 B 1.83-1.88
21 Ru 0.9468 0.8936 0.2500  10 B 2.32-2.37
22 Ru 0.0532 0.1064 0.7500  10 B 2.32-2.37

***

Material: Pa2BRu3
Method: DFT, PBE
State: optimized geometry

Properties
Energy of formation ... -39 kJ/mol of atoms
Spin magnetization ... 0.0 Bohr magnetons per cell
Energy ... -55.9 eV/cell

abc: 4.8550 4.8550 4.8550
angles: 69.67 69.67 69.67
With the nearest neighbours (Å) after each atom.
Fractional coordinates of all 6 atoms:
1 Pa 0.3704 0.3704 0.3704  3 Ru 2.75, 1 Pa 2.84
2 Pa 0.6296 0.6296 0.6296  3 Ru 2.75, 1 Pa 2.84
3 B 0.0000 0.0000 0.0000  6 Ru 2.43
4 Ru 0.0000 0.0000 0.5000  2 B 2.43
5 Ru 0.5000 0.0000 0.0000  2 B 2.43
6 Ru 0.0000 0.5000 0.0000  2 B 2.43